5
Lattice="-1.1705 2.2309 -3.8501 0.6861 -3.8430 -2.4354 -4.3191 -1.1727 0.6336" Properties=species:S:1:pos:R:3 comment="LiTa2MnGe, optimized geometry, DFT GGA-PBE" space_group="No. 123" ef_mev_per_atom=714 total_energy_ev_per_atom=-7.17 m_tot_mub_per_cell=0.00 volume_a3_per_atom=19.14 crystal_system=tetragonal pbc="T T T"
Ge -2.1596 -0.5863 0.3168
Mn 0.0000 0.0000 0.0000
Li -2.4018 -1.3924 -2.8259
Ta 0.3431 -1.9215 -1.2177
Ta -0.5853 1.1155 -1.9250